Entry from Alexandria via LeMat-Bulk: a relaxed structure of Ce2ThZrP4 (GGA-PBE).

Output
* ΔE_f: -1472 meV/atom
* spin magnetization: 0.32 μB per cell
* ρ: 6.59 g cm⁻³
* final energy: -7.6564 eV per atom

Cell lengths 6.9481, 4.0181, 6.9566 Å; angles 90.00, 109.35, 90.00 degrees
Last column: nearest neighbours and their distance in Å.
Space group P2/m (No. 10)
Asymmetric unit:
Ce: 0.0000 0.0000 0.0000 (multiplicity 1)  6 P 2.82
Ce: 0.0000 0.5000 0.5000 (multiplicity 1)  6 P 2.92-2.93
Th: 0.5000 0.0000 0.5000 (multiplicity 1)  6 P 2.86-2.87
Zr: 0.5000 0.5000 0.0000 (multiplicity 1)  6 P 2.74-2.76
P: 0.2542 0.5000 0.2379 (multiplicity 2)  1 Zr 2.74, 3 Ce 2.82-2.93, 2 Th 2.87
P: 0.2620 0.0000 0.7660 (multiplicity 2)  2 Zr 2.76, 3 Ce 2.82-2.92, 1 Th 2.86



Entry from Alexandria via LeMat-Bulk: a relaxed structure of Al2Fe7Ge2 (GGA-PBE).

Output
* ΔE_f: -37 meV/atom
* spin magnetization: 26.46 μB per cell
* ρ: 7.00 g cm⁻³
* final energy: -6.9427 eV per atom

Cell lengths 7.9667, 8.5461, 4.5389 Å; angles 90.00, 115.02, 90.00 degrees
Last column: nearest neighbours and their distance in Å.
Space group C2/m (No. 12)
Asymmetric unit:
Al: 0.1053 0.0000 0.3281 (multiplicity 4)  5 Fe 2.47-2.59, 2 Al 2.73
Fe: 0.0000 0.5000 0.5000 (multiplicity 2)  6 Fe 2.45
Fe: 0.1693 0.2529 0.6711 (multiplicity 8)  5 Fe 2.40-2.64, 2 Ge 2.45-2.48, 1 Al 2.59
Fe: 0.2480 0.5000 0.0538 (multiplicity 4)  5 Fe 2.44-2.64, 3 Al 2.47-2.58, 2 Ge 2.47
Ge: 0.0000 0.3138 0.0000 (multiplicity 4)  6 Fe 2.45-2.48